Record 1
Entry from Alexandria via LeMat-Bulk: an optimized crystal structure of NbBOs3 (PBE).

Structure (POSCAR):
```
NbBOs3
1.0
4.1081 0.0000 0.0000
0.0000 4.1081 0.0000
0.0000 0.0000 4.1081
Nb B Os
1 1 3
Direct
0.0000 0.0000 0.0000
0.5000 0.5000 0.5000
0.0000 0.5000 0.5000
0.5000 0.0000 0.5000
0.5000 0.5000 0.0000
```

Volume, Å³ per cell: 69.3
Calculated formation energy, kcal/mol of atoms: -2.55
Magnetic moment, μB per atom: 0.00
Space group: Pm-3m, No. 221


Record 2
Entry from Alexandria via LeMat-Bulk: an optimized crystal structure of NbBOs2 (PBE).

Structure (POSCAR):
```
NbBOs2
1.0
-1.9348 1.9348 8.1923
1.9348 -1.9348 8.1923
1.9348 1.9348 -8.1923
Nb B Os
2 2 4
Direct
0.0000 0.0000 0.0000
0.7500 0.2500 0.5000
0.2500 0.7500 0.5000
0.5000 0.5000 0.0000
0.1905 0.6250 0.0655
0.3750 0.4405 0.5655
0.5595 0.1250 0.9345
0.8750 0.8095 0.4345
```

Volume, Å³ per cell: 122.7
Calculated formation energy, kcal/mol of atoms: 13.30
Magnetic moment, μB per atom: 0.00
Space group: I-42d, No. 122


Record 3
Entry from Alexandria via LeMat-Bulk: an optimized crystal structure of NbBOs2Pd (PBE).

Structure (POSCAR):
```
NbBOs2Pd
1.0
4.7267 0.0000 0.0000
0.0000 4.7267 0.0000
0.0000 0.0000 4.7303
Nb B Os Pd
1 1 2 1
Direct
0.0000 0.0000 0.0000
0.5000 0.5000 0.0000
0.0000 0.5000 0.5000
0.5000 0.0000 0.5000
0.0000 0.0000 0.5000
```

Volume, Å³ per cell: 105.7
Calculated formation energy, kcal/mol of atoms: 68.76
Magnetic moment, μB per atom: 0.30
Space group: P4/mmm, No. 123


Record 4
Entry from Alexandria via LeMat-Bulk: an optimized crystal structure of NbBOsRh2 (PBE).

Structure (POSCAR):
```
NbBOsRh2
1.0
4.6993 0.0000 0.0000
0.0000 4.6993 0.0000
0.0000 0.0000 4.8091
Nb B Os Rh
1 1 1 2
Direct
0.0000 0.0000 0.0000
0.5000 0.5000 0.0000
0.0000 0.0000 0.5000
0.0000 0.5000 0.5000
0.5000 0.0000 0.5000
```

Volume, Å³ per cell: 106.2
Calculated formation energy, kcal/mol of atoms: 47.41
Magnetic moment, μB per atom: 0.18
Space group: P4/mmm, No. 123


Record 5
Entry from Alexandria via LeMat-Bulk: an optimized crystal structure of NbBOsRu2 (PBE).

Structure (POSCAR):
```
NbBOsRu2
1.0
4.0805 0.0000 0.0000
0.0000 4.0805 0.0000
0.0000 0.0000 4.1114
Nb B Os Ru
1 1 1 2
Direct
0.0000 0.0000 0.0000
0.5000 0.5000 0.5000
0.5000 0.5000 0.0000
0.0000 0.5000 0.5000
0.5000 0.0000 0.5000
```

Volume, Å³ per cell: 68.5
Calculated formation energy, kcal/mol of atoms: -5.23
Magnetic moment, μB per atom: 0.00
Space group: P4/mmm, No. 123


Record 6
Entry from Alexandria via LeMat-Bulk: an optimized crystal structure of NbBOs2Ru (PBE).

Structure (POSCAR):
```
NbBOs2Ru
1.0
4.1087 0.0000 0.0000
0.0000 4.1087 0.0000
0.0000 0.0000 4.0810
Nb B Os Ru
1 1 2 1
Direct
0.0000 0.0000 0.0000
0.5000 0.5000 0.5000
0.0000 0.5000 0.5000
0.5000 0.0000 0.5000
0.5000 0.5000 0.0000
```

Volume, Å³ per cell: 68.9
Calculated formation energy, kcal/mol of atoms: -3.97
Magnetic moment, μB per atom: 0.00
Space group: P4/mmm, No. 123


Record 7
Entry from Alexandria via LeMat-Bulk: an optimized crystal structure of ScNb2BOs (PBE).

Structure (POSCAR):
```
ScNb2BOs
1.0
4.7081 0.0000 0.0000
0.0000 4.7081 0.0000
0.0000 0.0000 4.5268
Sc Nb B Os
1 2 1 1
Direct
0.0000 0.0000 0.0000
0.0000 0.5000 0.0000
0.5000 0.0000 0.0000
0.5000 0.5000 0.5000
0.0000 0.0000 0.5000
```

Volume, Å³ per cell: 100.3
Calculated formation energy, kcal/mol of atoms: 58.22
Magnetic moment, μB per atom: 0.10
Space group: P4/mmm, No. 123


Record 8
Entry from Alexandria via LeMat-Bulk: an optimized crystal structure of Sc2NbB2Os5 (PBE).

Structure (POSCAR):
```
Sc2NbB2Os5
1.0
9.5884 0.0000 0.0000
0.0000 9.5884 0.0000
0.0000 0.0000 3.0681
Sc Nb B Os
4 2 4 10
Direct
0.1756 0.3244 0.0000
0.3244 0.8244 0.0000
0.6756 0.1756 0.0000
0.8244 0.6756 0.0000
0.0000 0.0000 0.0000
0.5000 0.5000 0.0000
0.1209 0.6209 0.0000
0.3791 0.1209 0.0000
0.6209 0.8791 0.0000
0.8791 0.3791 0.0000
0.0000 0.5000 0.5000
0.0706 0.7812 0.5000
0.2188 0.0706 0.5000
0.2812 0.5706 0.5000
0.4294 0.2812 0.5000
0.5000 0.0000 0.5000
0.5706 0.7188 0.5000
0.7188 0.4294 0.5000
0.7812 0.9294 0.5000
0.9294 0.2188 0.5000
```

Volume, Å³ per cell: 282.1
Calculated formation energy, kcal/mol of atoms: -9.95
Magnetic moment, μB per atom: 0.00
Space group: P4/mbm, No. 127


Record 9
Entry from Alexandria via LeMat-Bulk: an optimized crystal structure of TiNb2B2Os5 (PBE).

Structure (POSCAR):
```
TiNb2B2Os5
1.0
9.4589 0.0000 0.0000
0.0000 9.4589 0.0000
0.0000 0.0000 3.0143
Ti Nb B Os
2 4 4 10
Direct
0.0000 0.0000 0.0000
0.5000 0.5000 0.0000
0.1777 0.3223 0.0000
0.3223 0.8223 0.0000
0.6777 0.1777 0.0000
0.8223 0.6777 0.0000
0.1232 0.6232 0.0000
0.3768 0.1232 0.0000
0.6232 0.8768 0.0000
0.8768 0.3768 0.0000
0.0000 0.5000 0.5000
0.0695 0.7839 0.5000
0.2161 0.0695 0.5000
0.2839 0.5695 0.5000
0.4305 0.2839 0.5000
0.5000 0.0000 0.5000
0.5695 0.7161 0.5000
0.7161 0.4305 0.5000
0.7839 0.9305 0.5000
0.9305 0.2161 0.5000
```

Volume, Å³ per cell: 269.7
Calculated formation energy, kcal/mol of atoms: -10.56
Magnetic moment, μB per atom: 0.00
Space group: P4/mbm, No. 127


Record 10
Entry from Alexandria via LeMat-Bulk: an optimized crystal structure of Nb2VB2Os5 (PBE).

Structure (POSCAR):
```
Nb2VB2Os5
1.0
9.4325 0.0000 0.0000
0.0000 9.4325 0.0000
0.0000 0.0000 2.9803
Nb V B Os
4 2 4 10
Direct
0.1775 0.3225 0.0000
0.3225 0.8225 0.0000
0.6775 0.1775 0.0000
0.8225 0.6775 0.0000
0.0000 0.0000 0.0000
0.5000 0.5000 0.0000
0.1233 0.6233 0.0000
0.3767 0.1233 0.0000
0.6233 0.8767 0.0000
0.8767 0.3767 0.0000
0.0000 0.5000 0.5000
0.0692 0.7862 0.5000
0.2138 0.0692 0.5000
0.2862 0.5692 0.5000
0.4308 0.2862 0.5000
0.5000 0.0000 0.5000
0.5692 0.7138 0.5000
0.7138 0.4308 0.5000
0.7862 0.9308 0.5000
0.9308 0.2138 0.5000
```

Volume, Å³ per cell: 265.2
Calculated formation energy, kcal/mol of atoms: -9.33
Magnetic moment, μB per atom: 0.00
Space group: P4/mbm, No. 127


Record 11
Entry from Alexandria via LeMat-Bulk: an optimized crystal structure of Nb2ZnB2Os5 (PBE).

Structure (POSCAR):
```
Nb2ZnB2Os5
1.0
9.4091 0.0000 0.0000
0.0000 9.4091 0.0000
0.0000 0.0000 3.0036
Nb Zn B Os
4 2 4 10
Direct
0.1780 0.3220 0.0000
0.3220 0.8220 0.0000
0.6780 0.1780 0.0000
0.8220 0.6780 0.0000
0.0000 0.0000 0.0000
0.5000 0.5000 0.0000
0.1254 0.6254 0.0000
0.3746 0.1254 0.0000
0.6254 0.8746 0.0000
0.8746 0.3746 0.0000
0.0000 0.5000 0.5000
0.0687 0.7839 0.5000
0.2161 0.0687 0.5000
0.2839 0.5687 0.5000
0.4313 0.2839 0.5000
0.5000 0.0000 0.5000
0.5687 0.7161 0.5000
0.7161 0.4313 0.5000
0.7839 0.9313 0.5000
0.9313 0.2161 0.5000
```

Volume, Å³ per cell: 265.9
Calculated formation energy, kcal/mol of atoms: -5.71
Magnetic moment, μB per atom: 0.00
Space group: P4/mbm, No. 127